Entry 1:
VASP calculation (GGA-PBE) on an optimized crystal structure of La8P6Br.

Cell: 11.195 11.195 4.357 Å, 90.00 90.00 120.00°
Fractional positions:
La: 0.037 0.364 0.255
La: 0.327 0.963 0.255
La: 0.333 0.667 0.748
La: 0.364 0.327 0.745
La: 0.636 0.673 0.255
La: 0.667 0.333 0.252
La: 0.673 0.037 0.745
La: 0.963 0.636 0.745
P: 0.139 0.662 0.246
P: 0.338 0.478 0.246
P: 0.478 0.139 0.754
P: 0.522 0.861 0.246
P: 0.662 0.522 0.754
P: 0.861 0.338 0.754
Br: 0.000 0.000 0.500

## Properties
- Formation energy from raw total energies: -1.33 eV per atom
- Crystal system: trigonal
- Symmetry: No. 147
- Total DFT energy (no corrections): -93.57 eV for the cell shown
- Magnetization: 0.038 μB per cell
- N(E_F): 12.90 states/eV/cell
- Mass density: 4.84 g/cm3

Entry 2:
VASP calculation (GGA-PBE) on an optimized crystal structure of CeDyPtRh.

Cell: 4.227 3.793 11.060 Å, 90.00 90.00 90.00°
Fractional positions:
Ce: 0.000 0.000 0.000
Ce: 0.000 0.500 0.500
Dy: 0.500 0.000 0.724
Dy: 0.500 0.500 0.224
Pt: 0.000 0.000 0.276
Pt: 0.000 0.500 0.776
Rh: 0.500 0.000 0.462
Rh: 0.500 0.500 0.962

## Properties
- Energy of formation from the pure elements: -1023.4 meV/atom
- E above lowest polymorph: 0 meV/atom
- Crystal system: orthorhombic
- Symmetry: No. 38
- Total DFT energy (no corrections): -56.04 eV for the cell shown
- Magnetization: 0.460 μB per cell
- N(E_F): 10.10 states/eV/cell
- Mass density: 11.25 g/cm3

Entry 3:
VASP calculation (GGA-PBE) on an optimized crystal structure of ErGe2Ir3.

Cell: 8.444 8.444 9.821 Å, 107.61 107.61 27.73°
Fractional positions:
Er: 0.000 0.000 0.000
Er: 0.162 0.162 0.705
Er: 0.838 0.838 0.295
Ge: 0.194 0.194 0.128
Ge: 0.362 0.362 0.544
Ge: 0.461 0.461 0.217
Ge: 0.539 0.539 0.783
Ge: 0.638 0.638 0.456
Ge: 0.806 0.806 0.872
Ir: 0.040 0.040 0.328
Ir: 0.217 0.217 0.392
Ir: 0.320 0.320 0.043
Ir: 0.381 0.381 0.804
Ir: 0.500 0.500 0.500
Ir: 0.619 0.619 0.196
Ir: 0.680 0.680 0.957
Ir: 0.783 0.783 0.608
Ir: 0.960 0.960 0.672

## Properties
- Energy of formation from the pure elements: -613.3 meV/atom
- Crystal system: monoclinic
- Symmetry: No. 12
- Total DFT energy (no corrections): -132.18 eV for the cell shown
- Magnetization: 0.000 μB per cell
- N(E_F): 9.39 states/eV/cell
- Mass density: 14.31 g/cm3

Entry 4:
VASP calculation (GGA-PBE) on an optimized crystal structure of SrZrAg2.

Cell: 7.994 7.994 7.028 Å, 90.00 90.00 90.00°
Fractional positions:
Sr: 0.000 0.000 0.000
Sr: 0.000 0.500 0.250
Sr: 0.500 0.000 0.750
Sr: 0.500 0.500 0.500
Zr: 0.000 0.000 0.500
Zr: 0.000 0.500 0.750
Zr: 0.500 0.000 0.250
Zr: 0.500 0.500 0.000
Ag: 0.214 0.250 0.625
Ag: 0.250 0.714 0.875
Ag: 0.250 0.786 0.375
Ag: 0.286 0.250 0.125
Ag: 0.714 0.750 0.125
Ag: 0.750 0.214 0.375
Ag: 0.750 0.286 0.875
Ag: 0.786 0.750 0.625

## Properties
- Energy of formation from the pure elements: 391.9 meV/atom
- E above lowest polymorph: 440 meV/atom
- Crystal system: tetragonal
- Symmetry: No. 122
- Total DFT energy (no corrections): -57.46 eV for the cell shown
- Magnetization: 4.559 μB per cell
- N(E_F): 17.39 states/eV/cell
- Mass density: 5.84 g/cm3

Entry 5:
VASP calculation (GGA-PBE) on an optimized crystal structure of YZrSi2.

Cell: 3.971 3.971 18.958 Å, 90.00 90.00 120.00°
Fractional positions:
Y: 0.000 0.000 0.000
Y: 0.333 0.667 0.667
Y: 0.667 0.333 0.333
Zr: 0.000 0.000 0.813
Zr: 0.333 0.667 0.480
Zr: 0.667 0.333 0.146
Si: 0.000 0.000 0.232
Si: 0.000 0.000 0.566
Si: 0.333 0.667 0.232
Si: 0.333 0.667 0.899
Si: 0.667 0.333 0.566
Si: 0.667 0.333 0.899

## Properties
- Formation energy from raw total energies: -0.36 eV per atom
- E above lowest polymorph: 482 meV/atom
- Crystal system: trigonal
- Symmetry: No. 160
- Total DFT energy (no corrections): -81.84 eV for the cell shown
- Magnetization: 0.006 μB per cell
- N(E_F): 7.36 states/eV/cell
- Mass density: 4.55 g/cm3

Entry 6:
VASP calculation (GGA-PBE) on an optimized crystal structure of La2InICl.

Cell: 6.026 6.026 5.875 Å, 90.00 90.00 90.00°
Fractional positions:
La: 0.000 0.500 0.000
La: 0.500 0.000 0.000
In: 0.000 0.000 0.500
I: 0.000 0.000 0.000
Cl: 0.500 0.500 0.500

## Properties
- Formation energy from raw total energies: -0.03 eV per atom
- Crystal system: tetragonal
- Symmetry: No. 123
- Total DFT energy (no corrections): -16.13 eV for the cell shown
- Magnetization: 0.306 μB per cell
- N(E_F): 7.70 states/eV/cell
- Mass density: 4.32 g/cm3

Q: Which of these has the highest magnetization?
A: SrZrAg2

Repeat the first record exactly.
VASP calculation (GGA-PBE) on an optimized crystal structure of La8P6Br.

Cell: 11.195 11.195 4.357 Å, 90.00 90.00 120.00°
Fractional positions:
La: 0.037 0.364 0.255
La: 0.327 0.963 0.255
La: 0.333 0.667 0.748
La: 0.364 0.327 0.745
La: 0.636 0.673 0.255
La: 0.667 0.333 0.252
La: 0.673 0.037 0.745
La: 0.963 0.636 0.745
P: 0.139 0.662 0.246
P: 0.338 0.478 0.246
P: 0.478 0.139 0.754
P: 0.522 0.861 0.246
P: 0.662 0.522 0.754
P: 0.861 0.338 0.754
Br: 0.000 0.000 0.500

## Properties
- Formation energy from raw total energies: -1.33 eV per atom
- Crystal system: trigonal
- Symmetry: No. 147
- Total DFT energy (no corrections): -93.57 eV for the cell shown
- Magnetization: 0.038 μB per cell
- N(E_F): 12.90 states/eV/cell
- Mass density: 4.84 g/cm3

Q: Which formula does entry 3 have?
A: ErGe2Ir3

Q: The lowest N(E_F) belongs to which entry?
A: YZrSi2